[1]
First-principles (GGA-PBE) data for a relaxed structure of PmMgRh, as listed in Alexandria.

Calculated values
Electronic total energy   -5.184 eV/atom

Unit cell a=4.152 b=7.372 c=12.782 alpha=89.93 beta=90.00 gamma=90.00
Sites, in units of the cell vectors:
Pm1 0.750 0.540 0.378
Pm2 0.250 0.957 0.715
Pm3 0.750 0.043 0.285
Pm4 0.750 0.655 0.084
Pm5 0.250 0.460 0.622
Pm6 0.250 0.345 0.916
Mg1 0.250 0.003 0.085
Mg2 0.250 0.865 0.460
Mg3 0.750 0.631 0.800
Mg4 0.750 0.135 0.540
Mg5 0.250 0.369 0.200
Mg6 0.750 0.997 0.915
Rh1 0.250 0.752 0.921
Rh2 0.750 0.253 0.751
Rh3 0.750 0.752 0.585
Rh4 0.750 0.248 0.079
Rh5 0.250 0.248 0.415
Rh6 0.250 0.747 0.249

---

[2]
First-principles (GGA-PBE) data for a relaxed structure of Tm2CdIn2, as listed in Alexandria.

Calculated values
Electronic total energy   -3.405 eV/atom

Unit cell a=3.415 b=4.644 c=8.279 alpha=106.29 beta=90.00 gamma=90.00
Sites, in units of the cell vectors:
Tm1 0.500 0.611 0.221
Tm2 0.500 0.389 0.779
Cd1 0.000 0.000 0.000
In1 0.000 0.196 0.392
In2 0.000 0.804 0.608

---

[3]
First-principles (GGA-PBE) data for a relaxed structure of AcGaPb, as listed in Alexandria.

Calculated values
Electronic total energy   -3.845 eV/atom

Unit cell a=4.584 b=7.430 c=6.771 alpha=108.49 beta=109.79 gamma=90.00
Sites, in units of the cell vectors:
Ac1 0.603 0.817 0.205
Ac2 0.397 0.183 0.795
Pb1 0.122 0.180 0.244
Pb2 0.878 0.820 0.756
Ga1 0.664 0.435 0.327
Ga2 0.336 0.565 0.673

---

[4]
First-principles (GGA-PBE) data for a relaxed structure of HfZnC3, as listed in Alexandria.

Calculated values
Electronic total energy   -5.678 eV/atom

Unit cell a=4.304 b=4.304 c=4.304 alpha=90.00 beta=90.00 gamma=90.00
Sites, in units of the cell vectors:
Zn1 0.500 0.500 0.500
Hf1 0.000 0.000 0.000
C1 0.000 0.500 0.000
C2 0.000 0.000 0.500
C3 0.500 0.000 0.000

---

[5]
First-principles (GGA-PBE) data for a relaxed structure of ZnFe2Br, as listed in Alexandria.

Calculated values
Raw formation energy   1.04 eV per formula unit

Unit cell a=3.146 b=3.146 c=7.078 alpha=90.00 beta=90.00 gamma=90.00
Each line ends with the local moment (μB).
Sites, in units of the cell vectors:
Br1 0.500 0.500 0.833  0.13
Fe1 0.000 0.000 0.044  2.86
Fe2 0.500 0.500 0.218  2.42
Zn1 0.000 0.000 0.406  -0.09

---

[6]
First-principles (GGA-PBE) data for a relaxed structure of TlPtN2O, as listed in Alexandria.

Calculated values
Raw formation energy   4.93 eV per formula unit

Unit cell a=3.919 b=3.919 c=4.389 alpha=90.00 beta=90.00 gamma=90.00
Each line ends with the local moment (μB).
Sites, in units of the cell vectors:
Tl1 0.500 0.500 0.500  0.01
O1 0.000 0.000 0.500  0.01
Pt1 0.000 0.000 0.000  0.10
N1 0.000 0.500 0.000  0.26
N2 0.500 0.000 0.000  0.26

---

[7]
First-principles (GGA-PBE) data for a relaxed structure of BSbAsI2, as listed in Alexandria.

Calculated values
Raw formation energy   6.58 eV per formula unit

Unit cell a=5.652 b=5.652 c=5.503 alpha=90.00 beta=90.00 gamma=90.00
Sites, in units of the cell vectors:
I1 0.000 0.500 0.000
I2 0.500 0.000 0.000
Sb1 0.000 0.000 0.500
As1 0.000 0.000 0.000
B1 0.500 0.500 0.500

---

[8]
First-principles (GGA-PBE) data for a relaxed structure of Mg2CrFe, as listed in Alexandria.

Calculated values
Electronic total energy   -4.341 eV/atom

Unit cell a=7.065 b=7.065 c=5.636 alpha=51.19 beta=51.19 gamma=90.00
Each line ends with the local moment (μB).
Sites, in units of the cell vectors:
Cr1 0.500 0.500 0.000  0.06
Cr2 0.250 0.750 0.500  0.06
Mg1 0.636 0.125 0.250  -0.01
Mg2 0.114 0.625 0.250  -0.01
Mg3 0.375 0.364 0.750  -0.02
Mg4 0.875 0.886 0.750  -0.01
Fe1 0.000 0.000 0.000  2.38
Fe2 0.750 0.250 0.500  2.38

---

[9]
First-principles (GGA-PBE) data for a relaxed structure of RbPdW2, as listed in Alexandria.

Calculated values
Electronic total energy   -5.947 eV/atom

Unit cell a=4.664 b=4.664 c=4.664 alpha=60.00 beta=60.00 gamma=60.00
Sites, in units of the cell vectors:
Rb1 0.000 0.000 0.000
Pd1 0.500 0.500 0.500
W1 0.250 0.250 0.250
W2 0.750 0.750 0.750

---

[10]
First-principles (GGA-PBE) data for a relaxed structure of La6Ge3Se2Cl, as listed in Alexandria.

Calculated values
Raw formation energy   -17.17 eV per formula unit

Unit cell a=4.398 b=8.740 c=9.776 alpha=102.38 beta=103.00 gamma=90.00
Sites, in units of the cell vectors:
La1 0.329 0.921 0.658
La2 0.665 0.588 0.330
La3 0.671 0.079 0.342
La4 0.998 0.263 0.995
La5 0.002 0.737 0.005
La6 0.335 0.412 0.670
Ge1 0.500 0.500 0.000
Ge2 0.835 0.166 0.670
Ge3 0.165 0.834 0.330
Se1 0.834 0.668 0.668
Se2 0.166 0.332 0.332
Cl1 0.500 0.000 0.000

---

[11]
First-principles (GGA-PBE) data for a relaxed structure of Tb3MgTl2, as listed in Alexandria.

Calculated values
Electronic total energy   -3.643 eV/atom

Unit cell a=3.783 b=3.783 c=11.486 alpha=90.00 beta=90.00 gamma=90.00
Sites, in units of the cell vectors:
Tb1 0.000 0.000 0.000
Tb2 0.000 0.000 0.660
Tb3 0.000 0.000 0.340
Mg1 0.500 0.500 0.500
Tl1 0.500 0.500 0.825
Tl2 0.500 0.500 0.175

---

[12]
First-principles (GGA-PBE) data for a relaxed structure of K2Rb3MgH6, as listed in Alexandria.

Calculated values
Electronic total energy   -2.324 eV/atom

Unit cell a=6.846 b=6.846 c=6.922 alpha=98.63 beta=98.63 gamma=120.98
Sites, in units of the cell vectors:
K1 0.332 0.668 0.000
K2 0.668 0.332 0.000
Rb1 0.154 0.846 0.500
Rb2 0.846 0.154 0.500
Rb3 0.500 0.500 0.500
Mg1 0.000 0.000 0.000
H1 0.938 0.687 0.819
H2 0.796 0.796 0.188
H3 0.062 0.313 0.181
H4 0.687 0.938 0.819
H5 0.204 0.204 0.812
H6 0.313 0.062 0.181

---

[13]
First-principles (GGA-PBE) data for a relaxed structure of RbMn2Fe, as listed in Alexandria.

Calculated values
Electronic total energy   -5.704 eV/atom

Unit cell a=5.464 b=5.464 c=8.334 alpha=70.86 beta=70.86 gamma=90.00
Each line ends with the local moment (μB).
Sites, in units of the cell vectors:
Mn1 0.375 0.125 0.250  3.31
Mn2 0.375 0.625 0.250  3.32
Mn3 0.375 0.625 0.750  3.36
Mn4 0.875 0.625 0.750  3.46
Fe1 0.500 0.500 0.000  -1.78
Fe2 0.250 0.750 0.500  -1.78
Rb1 0.000 0.000 0.000  0.02
Rb2 0.750 0.250 0.500  0.02

---

[14]
First-principles (GGA-PBE) data for a relaxed structure of Y4TmCo, as listed in Alexandria.

Calculated values
Electronic total energy   -6.265 eV/atom

Unit cell a=5.835 b=7.293 c=9.319 alpha=113.03 beta=108.24 gamma=90.00
Sites, in units of the cell vectors:
Y1 0.176 0.676 0.351
Y2 0.380 0.127 0.761
Y3 0.000 0.230 0.000
Y4 0.620 0.367 0.239
Y5 0.824 0.324 0.649
Y6 0.620 0.873 0.239
Y7 0.000 0.770 0.000
Y8 0.380 0.633 0.761
Tm1 0.804 0.804 0.608
Tm2 0.196 0.196 0.392
Co1 0.308 0.500 0.000
Co2 0.692 0.500 0.000

---

[15]
First-principles (GGA-PBE) data for a relaxed structure of BaGa2AgAu4, as listed in Alexandria.

Calculated values
Electronic total energy   -3.307 eV/atom

Unit cell a=4.514 b=4.514 c=10.426 alpha=77.50 beta=77.50 gamma=60.00
Sites, in units of the cell vectors:
Ba1 0.000 0.000 0.000
Ga1 0.762 0.762 0.713
Ga2 0.238 0.238 0.287
Ag1 0.500 0.500 0.500
Au1 0.405 0.405 0.785
Au2 0.872 0.872 0.383
Au3 0.128 0.128 0.617
Au4 0.595 0.595 0.215

---

[16]
First-principles (GGA-PBE) data for a relaxed structure of Be2PdW2, as listed in Alexandria.

Calculated values
Electronic total energy   -7.761 eV/atom

Unit cell a=5.906 b=5.906 c=3.566 alpha=90.00 beta=90.00 gamma=90.00
Sites, in units of the cell vectors:
Be1 0.373 0.873 0.000
Be2 0.873 0.627 0.000
Be3 0.627 0.127 0.000
Be4 0.127 0.373 0.000
Pd1 0.000 0.000 0.000
Pd2 0.500 0.500 0.000
W1 0.165 0.665 0.500
W2 0.665 0.835 0.500
W3 0.835 0.335 0.500
W4 0.335 0.165 0.500

---

[17]
First-principles (GGA-PBE) data for a relaxed structure of CaPm3Zn8, as listed in Alexandria.

Calculated values
Electronic total energy   -2.511 eV/atom

Unit cell a=5.570 b=5.570 c=9.589 alpha=73.12 beta=73.12 gamma=60.00
Sites, in units of the cell vectors:
Ca1 0.874 0.874 0.377
Pm1 0.376 0.376 0.873
Pm2 0.000 0.000 0.001
Pm3 0.501 0.501 0.498
Zn1 0.936 0.439 0.186
Zn2 0.436 0.938 0.688
Zn3 0.439 0.439 0.186
Zn4 0.938 0.938 0.688
Zn5 0.187 0.187 0.440
Zn6 0.688 0.688 0.936
Zn7 0.439 0.936 0.186
Zn8 0.938 0.436 0.688

---

[18]
First-principles (GGA-PBE) data for a relaxed structure of SrEr5Bi6, as listed in Alexandria.

Calculated values
Electronic total energy   -4.774 eV/atom

Unit cell a=7.801 b=7.801 c=7.829 alpha=99.59 beta=99.59 gamma=120.09
Sites, in units of the cell vectors:
Sr1 0.000 0.000 0.000
Bi1 0.432 0.087 0.259
Bi2 0.913 0.568 0.741
Bi3 0.262 0.262 0.747
Bi4 0.738 0.738 0.253
Bi5 0.087 0.432 0.259
Bi6 0.568 0.913 0.741
Er1 0.839 0.161 0.500
Er2 0.669 0.331 0.000
Er3 0.500 0.500 0.500
Er4 0.331 0.669 0.000
Er5 0.161 0.839 0.500

---

[19]
First-principles (GGA-PBE) data for a relaxed structure of Ho2BeAl3Pt4, as listed in Alexandria.

Calculated values
Electronic total energy   -5.853 eV/atom

Unit cell a=4.086 b=4.086 c=10.634 alpha=90.00 beta=90.00 gamma=90.00
Sites, in units of the cell vectors:
Ho1 0.500 0.000 0.262
Ho2 0.000 0.500 0.738
Be1 0.500 0.500 0.500
Al1 0.000 0.000 0.500
Al2 0.500 0.000 0.863
Al3 0.000 0.500 0.137
Pt1 0.500 0.500 0.000
Pt2 0.000 0.000 0.000
Pt3 0.500 0.000 0.631
Pt4 0.000 0.500 0.369

---

[20]
First-principles (GGA-PBE) data for a relaxed structure of LaHo3Tl2, as listed in Alexandria.

Calculated values
Electronic total energy   -4.164 eV/atom

Unit cell a=5.165 b=6.817 c=10.127 alpha=90.00 beta=90.00 gamma=90.00
Sites, in units of the cell vectors:
La1 0.500 0.553 0.543
La2 0.500 0.053 0.457
Ho1 0.000 0.455 0.955
Ho2 0.000 0.955 0.045
Ho3 0.500 0.669 0.180
Ho4 0.500 0.169 0.820
Ho5 0.000 0.328 0.303
Ho6 0.000 0.828 0.697
Tl1 0.500 0.708 0.869
Tl2 0.500 0.208 0.131
Tl3 0.000 0.286 0.642
Tl4 0.000 0.786 0.358

---

[21]
First-principles (GGA-PBE) data for a relaxed structure of CaCeTlIr, as listed in Alexandria.

Calculated values
Electronic total energy   -5.265 eV/atom

Unit cell a=3.467 b=3.467 c=8.411 alpha=90.00 beta=90.00 gamma=90.00
Each line ends with the local moment (μB).
Sites, in units of the cell vectors:
Ca1 0.500 0.500 0.783  0.00
Ce1 0.500 0.500 0.376  0.35
Tl1 0.000 0.000 0.070  0.00
Ir1 0.000 0.000 0.556  -0.05

---

[22]
First-principles (GGA-PBE) data for a relaxed structure of MnMoS, as listed in Alexandria.

Calculated values
Raw formation energy   -0.47 eV per formula unit

Unit cell a=6.910 b=2.948 c=8.529 alpha=90.00 beta=112.65 gamma=90.00
Sites, in units of the cell vectors:
Mo1 0.267 0.000 0.002
Mo2 0.733 0.000 0.998
Mo3 0.267 0.500 0.502
Mo4 0.733 0.500 0.498
Mn1 0.945 0.000 0.343
Mn2 0.055 0.000 0.657
Mn3 0.945 0.500 0.843
Mn4 0.055 0.500 0.157
S1 0.666 0.000 0.694
S2 0.334 0.000 0.306
S3 0.666 0.500 0.194
S4 0.334 0.500 0.806

---

[23]
First-principles (GGA-PBE) data for a relaxed structure of Ca2Ga4Cu3Au, as listed in Alexandria.

Calculated values
Electronic total energy   -3.542 eV/atom

Unit cell a=4.127 b=4.127 c=10.918 alpha=90.00 beta=90.00 gamma=90.00
Sites, in units of the cell vectors:
Ca1 0.500 0.000 0.242
Ca2 0.000 0.500 0.758
Ga1 0.500 0.500 0.000
Ga2 0.000 0.000 0.000
Ga3 0.500 0.000 0.644
Ga4 0.000 0.500 0.356
Cu1 0.000 0.000 0.500
Cu2 0.500 0.000 0.867
Cu3 0.000 0.500 0.133
Au1 0.500 0.500 0.500

---

[24]
First-principles (GGA-PBE) data for a relaxed structure of KCu2NiCl8, as listed in Alexandria.

Calculated values
Raw formation energy   -8.28 eV per formula unit

Unit cell a=5.519 b=5.690 c=10.103 alpha=75.86 beta=88.04 gamma=85.24
Sites, in units of the cell vectors:
K1 0.000 0.000 0.500
Cu1 0.478 0.545 0.827
Cu2 0.522 0.455 0.173
Ni1 0.000 0.000 0.000
Cl1 0.201 0.740 0.179
Cl2 0.720 0.709 0.000
Cl3 0.800 0.125 0.176
Cl4 0.799 0.260 0.821
Cl5 0.280 0.291 0.000
Cl6 0.200 0.875 0.824
Cl7 0.538 0.700 0.607
Cl8 0.462 0.300 0.393

---

Fermi-level density of states for the records above, in order: 1.34 2.78 1.73 1.72 2.49 4.03 4.16 4.51 5.13 2.88 5.40 2.43 3.93 9.04 0.98 2.98 5.34 3.11 6.35 6.30 3.98 2.22 4.61 7.58 states/eV/f.u.